Entry 1:
The following is a DFT calculation (PBE) of a relaxed structure of CsErZnBr6.

```
CsErZnBr6
1.0
7.094 0.000 0.000
-3.547 6.143 0.000
0.000 0.000 8.214
Cs Er Zn Br
1 1 1 6
Direct
0.000 0.000 0.000
0.333 0.667 0.500
0.667 0.333 0.500
0.382 0.013 0.692
0.382 0.369 0.308
0.631 0.013 0.308
0.631 0.618 0.692
0.987 0.369 0.692
0.987 0.618 0.308
```

Values from the calculation:
total magnetic moment = 0.00 μB/f.u.
raw total energy = -3.37 eV/atom
symmetry = P312
DOS at the Fermi energy = 0.0 states/eV per cell

---

Entry 2:
The following is a DFT calculation (PBE) of a relaxed structure of ZrRe2Pd.

```
ZrRe2Pd
1.0
3.765 0.000 0.000
0.000 3.765 0.000
0.000 0.000 20.198
Zr Re Pd
4 8 4
Direct
0.000 0.000 0.000
0.000 0.500 0.250
0.500 0.000 0.750
0.500 0.500 0.500
0.230 0.250 0.625
0.250 0.730 0.875
0.250 0.770 0.375
0.270 0.250 0.125
0.730 0.750 0.125
0.750 0.230 0.375
0.750 0.270 0.875
0.770 0.750 0.625
0.000 0.000 0.500
0.000 0.500 0.750
0.500 0.000 0.250
0.500 0.500 0.000
```

Values from the calculation:
relative energy among the computed polymorphs = 0.0203 eV per atom
total magnetic moment = 0.00 μB/f.u.
raw total energy = -9.26 eV/atom
symmetry = I-42d
calculated formation energy = 1.60 eV per formula unit
DOS at the Fermi energy = 13.6 states/eV per cell

---

Entry 3:
The following is a DFT calculation (PBE) of a relaxed structure of HgIr2Ru2.

```
HgIr2Ru2
1.0
7.624 0.000 0.000
0.000 7.624 0.000
0.000 0.000 2.775
Hg Ir Ru
2 4 4
Direct
0.000 0.000 0.000
0.500 0.500 0.000
0.123 0.377 0.000
0.377 0.877 0.000
0.623 0.123 0.000
0.877 0.623 0.000
0.171 0.671 0.500
0.329 0.171 0.500
0.671 0.829 0.500
0.829 0.329 0.500
```

Values from the calculation:
relative energy among the computed polymorphs = 0.0000 eV per atom
total magnetic moment = 0.00 μB/f.u.
raw total energy = -6.96 eV/atom
symmetry = P4/mbm
calculated formation energy = 1.79 eV per formula unit
DOS at the Fermi energy = 10.1 states/eV per cell

---

Entry 4:
The following is a DFT calculation (PBE) of a relaxed structure of GaAs2PtSe.

```
GaAs2PtSe
1.0
4.841 0.000 0.000
0.000 4.841 0.000
0.000 0.000 5.445
Ga As Pt Se
1 2 1 1
Direct
0.000 0.000 0.000
0.000 0.500 0.500
0.500 0.000 0.500
0.500 0.500 0.500
0.500 0.500 0.000
```

Values from the calculation:
relative energy among the computed polymorphs = 0.0000 eV per atom
total magnetic moment = 0.00 μB/f.u.
raw total energy = -3.93 eV/atom
symmetry = P4/mmm
DOS at the Fermi energy = 4.5 states/eV per cell

---

Entry 5:
The following is a DFT calculation (PBE) of a relaxed structure of PrTh2Rh5Au.

```
PrTh2Rh5Au
1.0
-4.190 4.190 5.613
4.190 -4.190 5.613
4.190 4.190 -5.613
Pr Th Rh Au
2 4 10 2
Direct
0.250 0.250 0.000
0.750 0.750 0.000
0.138 0.638 0.777
0.362 0.138 0.500
0.638 0.862 0.500
0.862 0.362 0.223
0.000 0.000 0.000
0.059 0.178 0.500
0.178 0.678 0.120
0.322 0.441 0.500
0.441 0.941 0.120
0.500 0.500 0.000
0.559 0.059 0.880
0.678 0.559 0.500
0.822 0.322 0.880
0.941 0.822 0.500
0.250 0.750 0.500
0.750 0.250 0.500
```

Values from the calculation:
total magnetic moment = 0.00 μB/f.u.
raw total energy = -6.99 eV/atom
symmetry = I4/mcm
calculated formation energy = -3.22 eV per formula unit
DOS at the Fermi energy = 17.9 states/eV per cell

---

Among the records above, which one has the lowest raw total energy? ZrRe2Pd

---

Which formula does entry 1 have? CsErZnBr6